VASP calculation (PBE) on a geometry-optimized VRe2SiAg structure.

The space group is P4/mmm (No. 123) and the conventional cell measures 4.473, 4.473 and 4.434 Å, with angles of 90.00, 90.00 and 90.00 degrees. The inequivalent atoms are V at (0.000, 0.000, 0.000), Re at (0.000, 0.500, 0.500), Si at (0.500, 0.500, 0.500) and Ag at (0.500, 0.500, 0.000).

The energy relative to the elements, uncorrected is 1337 meV per atom.